Record 1
The following is a DFT calculation (PBE) of an optimized crystal structure of Ho2UFe3.

Cell: 5.0436 10.7852 4.0929 Å, 90.00 90.00 90.00°
Sites, in units of the cell vectors:
Ho 0.2190 0.2110 0.0000
Ho 0.2810 0.7110 0.5000
Ho 0.7190 0.2890 0.5000
Ho 0.7810 0.7890 0.0000
U 0.0000 0.5000 0.0000
U 0.5000 0.0000 0.5000
Fe 0.0000 0.0000 0.5000
Fe 0.2237 0.4369 0.5000
Fe 0.2763 0.9369 0.0000
Fe 0.5000 0.5000 0.0000
Fe 0.7237 0.0631 0.0000
Fe 0.7763 0.5631 0.5000

## Properties
calculated density = 10.97 g/cm³
M_tot = 0.35 μB/atom
space-group type = Pnnm, No. 58
formation enthalpy at 0 K = -0.10 eV per atom


Record 2
The following is a DFT calculation (PBE) of an optimized crystal structure of HOsPt2.

Cell: 6.0467 6.0467 6.0467 Å, 90.00 90.00 90.00°
Sites, in units of the cell vectors:
H 0.0000 0.0000 0.0000
H 0.0000 0.5000 0.5000
H 0.5000 0.0000 0.5000
H 0.5000 0.5000 0.0000
Os 0.0000 0.0000 0.5000
Os 0.0000 0.5000 0.0000
Os 0.5000 0.0000 0.0000
Os 0.5000 0.5000 0.5000
Pt 0.2500 0.2500 0.2500
Pt 0.2500 0.2500 0.7500
Pt 0.2500 0.7500 0.2500
Pt 0.2500 0.7500 0.7500
Pt 0.7500 0.2500 0.2500
Pt 0.7500 0.2500 0.7500
Pt 0.7500 0.7500 0.2500
Pt 0.7500 0.7500 0.7500

## Properties
excess energy over the best structure of this formula in the dataset = 0.433 eV per atom
calculated density = 17.47 g/cm³
M_tot = 0.32 μB/atom
space-group type = Fm-3m, No. 225


Record 3
The following is a DFT calculation (PBE) of an optimized crystal structure of NdPu4Pt5.

Cell: 3.4983 3.4983 17.9927 Å, 90.00 90.00 90.00°
Sites, in units of the cell vectors:
Nd 0.0000 0.0000 0.0000
Pu 0.0000 0.0000 0.2031
Pu 0.0000 0.0000 0.4020
Pu 0.0000 0.0000 0.5980
Pu 0.0000 0.0000 0.7969
Pt 0.5000 0.5000 0.1040
Pt 0.5000 0.5000 0.3012
Pt 0.5000 0.5000 0.5000
Pt 0.5000 0.5000 0.6988
Pt 0.5000 0.5000 0.8960

## Properties
calculated density = 15.80 g/cm³
M_tot = 0.02 μB/atom
space-group type = P4/mmm, No. 123
formation enthalpy at 0 K = -0.77 eV per atom


Record 4
The following is a DFT calculation (PBE) of an optimized crystal structure of SrErAgTe3.

Cell: 8.9026 4.4129 10.0312 Å, 90.00 104.22 90.00°
Sites, in units of the cell vectors:
Sr 0.1969 0.2500 0.2535
Sr 0.8031 0.7500 0.7465
Er 0.3221 0.7500 0.8334
Er 0.6779 0.2500 0.1666
Ag 0.0826 0.2500 0.5859
Ag 0.9174 0.7500 0.4141
Te 0.0946 0.2500 0.8712
Te 0.2610 0.7500 0.5210
Te 0.4338 0.7500 0.1530
Te 0.5662 0.2500 0.8470
Te 0.7390 0.2500 0.4790
Te 0.9054 0.7500 0.1288

## Properties
calculated density = 6.48 g/cm³
ΔE_f (raw) = -1202.4 meV per atom
M_tot = 0.00 μB/atom
space-group type = P2_1/m, No. 11


Record 5
The following is a DFT calculation (PBE) of an optimized crystal structure of KZn2Re.

Cell: 3.2813 3.2813 7.5695 Å, 90.00 90.00 90.00°
Sites, in units of the cell vectors:
K 0.0000 0.0000 0.0000
Zn 0.5000 0.5000 0.3330
Zn 0.5000 0.5000 0.6670
Re 0.0000 0.0000 0.5000

## Properties
excess energy over the best structure of this formula in the dataset = 0.087 eV per atom
calculated density = 7.26 g/cm³
M_tot = 0.00 μB/atom
space-group type = P4/mmm, No. 123
formation enthalpy at 0 K = 0.57 eV per atom


Record 6
The following is a DFT calculation (PBE) of an optimized crystal structure of Tl3Cr2CuS6.

Cell: 6.3078 6.3078 7.4221 Å, 98.03 98.03 119.90°
Sites, in units of the cell vectors:
Tl 0.0000 0.0000 0.0000
Tl 0.3345 0.6655 0.0000
Tl 0.6655 0.3345 0.0000
Cr 0.1669 0.8331 0.5000
Cr 0.8331 0.1669 0.5000
Cu 0.5000 0.5000 0.5000
S 0.0999 0.4422 0.3252
S 0.2154 0.2154 0.6709
S 0.4422 0.0999 0.3252
S 0.5578 0.9001 0.6748
S 0.7846 0.7846 0.3291
S 0.9001 0.5578 0.6748

## Properties
calculated density = 6.57 g/cm³
ΔE_f (raw) = -399.3 meV per atom
M_tot = 0.35 μB/atom
space-group type = C2/m, No. 12


Record 7
The following is a DFT calculation (PBE) of an optimized crystal structure of LiLa2Th.

Cell: 3.5851 3.5851 35.2623 Å, 90.00 90.00 120.00°
Sites, in units of the cell vectors:
Li 0.0000 0.0000 0.0000
Li 0.3333 0.6667 0.6667
Li 0.6667 0.3333 0.3333
La 0.0000 0.0000 0.4162
La 0.0000 0.0000 0.5843
La 0.3333 0.6667 0.0829
La 0.3333 0.6667 0.2509
La 0.6667 0.3333 0.7496
La 0.6667 0.3333 0.9176
Th 0.0000 0.0000 0.8336
Th 0.3333 0.6667 0.5003
Th 0.6667 0.3333 0.1670

## Properties
excess energy over the best structure of this formula in the dataset = 0.077 eV per atom
calculated density = 6.56 g/cm³
M_tot = 0.00 μB/atom
space-group type = R3m, No. 160
formation enthalpy at 0 K = 0.09 eV per atom